Here is a geometry-optimized RePSe2Br structure from Alexandria via LeMat-Bulk. Energies are from GGA-PBE.

abc: 4.8077 4.8077 5.3600
angles: 90.00 90.00 90.00
Closest atoms and distances in Å follow each position.
Element x y z (fractional)
1 Re 0.0000 0.0000 0.0000  4 Se 2.40, 2 Br 2.68
2 P 0.5000 0.5000 0.5000  4 Br 3.40, 8 Se 3.60
3 Se 0.0000 0.5000 0.0000  2 Re 2.40
4 Se 0.5000 0.0000 0.0000  2 Re 2.40
5 Br 0.0000 0.0000 0.5000  2 Re 2.68

Summary:
**V**: 123.89 Å³/f.u.
**Calculated density**: 6099 kg/m3
**ΔE to the lowest computed polymorph**: 0.000 eV/atom
**M_tot**: 1.94 μB/f.u.
**Space-group type**: No. 123